## Ni2SbO4 (GGA+U)

Data for an optimized crystal structure of Ni2SbO4.

abc: 5.8985 5.8985 5.0588
angles: 111.61 111.61 32.96
Closest atoms and distances in Å follow each position.
Element x y z (fractional)
Ni1 0.1912 0.1912 0.1553  4 O 1.96-2.04
Ni2 0.8088 0.8088 0.8447  4 O 1.96-2.04
Sb1 0.5000 0.5000 0.5000  6 O 2.13-2.15
O1 0.0986 0.0986 0.4122  1 Ni 1.96, 2 Sb 2.15
O2 0.3558 0.3558 0.0795  3 Ni 2.00-2.04, 1 Sb 2.13
O3 0.6442 0.6442 0.9205  3 Ni 2.00-2.04, 1 Sb 2.13
O4 0.9014 0.9014 0.5878  1 Ni 1.96, 2 Sb 2.15

As for the raw total energy: -36.3 eV/f.u. Its space group is No. 12. The offset from the most stable computed form is 0.0 meV/atom.